# AlTl2VF6 (GGA+U, optimized geometry)
# Crystal system: orthorhombic
# E (eV/cell): -102.7
# DOS at the Fermi energy (states/eV/atom): 0.07
data_AlTl2VF6
_cell_length_a 5.6034
_cell_length_b 5.6072
_cell_length_c 10.5200
_cell_angle_alpha 90.00
_cell_angle_beta 90.00
_cell_angle_gamma 90.00
_symmetry_space_group_name_H-M 'P 1'
_symmetry_Int_Tables_number 1
loop_
_symmetry_equiv_pos_as_xyz
'x,y,z'
loop_
_atom_site_label
_atom_site_fract_x
_atom_site_fract_y
_atom_site_fract_z
_atom_site_occupancy
F1 0.0000 0.7548 0.1723 1
Al1 0.0000 0.7547 0.0000 1
F2 0.0000 0.7548 0.8277 1
Al2 0.5000 0.2453 0.5000 1
V1 0.5000 0.2547 0.0000 1
F3 0.7328 0.4783 0.5000 1
F4 0.2328 0.5217 0.0000 1
Tl1 0.5000 0.7476 0.7494 1
F5 0.2331 0.9875 0.0000 1
F6 0.5000 0.2452 0.6723 1
F7 0.7672 0.5217 0.0000 1
F8 0.2672 0.4783 0.5000 1
Tl2 0.5000 0.7476 0.2506 1
F9 0.7331 0.0125 0.5000 1
V2 0.0000 0.7453 0.5000 1
F10 0.2669 0.0125 0.5000 1
Tl3 0.0000 0.2524 0.2494 1
F11 0.5000 0.2452 0.3277 1
Tl4 0.0000 0.2524 0.7506 1
F12 0.7669 0.9875 0.0000 1